[1]
! La5PrAl2 PBE optimized geometry; values from VASP
&SYSTEM
  ibrav = 0, nat = 16, ntyp = 3
/
ATOMIC_SPECIES
La 138.91 La.upf
Pr 140.91 Pr.upf
Al 26.98 Al.upf
ATOMIC_POSITIONS crystal
La 0.000 0.000 0.349
La 0.000 0.000 0.151
La 0.667 0.333 0.250
La 0.000 0.000 0.849
La 0.667 0.333 0.054
La 0.333 0.667 0.750
La 0.333 0.667 0.946
La 0.333 0.667 0.554
La 0.667 0.333 0.446
La 0.000 0.000 0.651
Pr 0.333 0.667 0.250
Pr 0.667 0.333 0.750
Al 0.667 0.333 0.600
Al 0.333 0.667 0.100
Al 0.333 0.667 0.400
Al 0.667 0.333 0.900
CELL_PARAMETERS angstrom
5.504 0.000 0.000
-2.752 4.766 0.000
0.000 0.000 20.699
! space-group type	P6_3/mmc, No. 194
! formation energy	-4	kJ/mol of atoms

***

[2]
! La2PrAl PBE optimized geometry; values from VASP
&SYSTEM
  ibrav = 0, nat = 4, ntyp = 3
/
ATOMIC_SPECIES
Pr 140.91 Pr.upf
Al 26.98 Al.upf
La 138.91 La.upf
ATOMIC_POSITIONS crystal
Pr 0.000 0.000 0.000
Al 0.500 0.500 0.500
La 0.250 0.250 0.250
La 0.750 0.750 0.750
CELL_PARAMETERS angstrom
-3.047 -0.464 -4.681
-4.159 -3.747 -0.276
-5.331 1.729 -0.056
! space-group type	Fm-3m, No. 225
! ΔE to the lowest computed polymorph	159	meV/atom
! formation energy	-3	kJ/mol of atoms

***

[3]
! La9PrAl2 PBE optimized geometry; values from VASP
&SYSTEM
  ibrav = 0, nat = 12, ntyp = 3
/
ATOMIC_SPECIES
La 138.91 La.upf
Pr 140.91 Pr.upf
Al 26.98 Al.upf
ATOMIC_POSITIONS crystal
La 0.500 0.500 0.000
La 0.500 0.500 0.343
La 0.500 0.500 0.657
La 0.500 0.000 0.179
La 0.500 0.000 0.500
La 0.500 0.000 0.821
La 0.000 0.500 0.179
La 0.000 0.500 0.500
La 0.000 0.500 0.821
Pr 0.000 0.000 0.000
Al 0.000 0.000 0.339
Al 0.000 0.000 0.661
CELL_PARAMETERS angstrom
5.048 0.000 0.000
0.000 5.048 0.000
0.000 0.000 15.376
! space-group type	P4/mmm, No. 123
! formation energy	-10	kJ/mol of atoms

***

[4]
! La6Pr5Al PBE optimized geometry; values from VASP
&SYSTEM
  ibrav = 0, nat = 12, ntyp = 3
/
ATOMIC_SPECIES
Pr 140.91 Pr.upf
Al 26.98 Al.upf
La 138.91 La.upf
ATOMIC_POSITIONS crystal
Pr 0.500 0.166 0.834
Pr 0.000 0.335 0.665
Pr 0.500 0.500 0.500
Pr 0.000 0.665 0.335
Pr 0.500 0.834 0.166
Al 0.000 0.000 0.000
La 0.238 0.079 0.397
La 0.762 0.603 0.921
La 0.736 0.236 0.236
La 0.264 0.764 0.764
La 0.238 0.397 0.079
La 0.762 0.921 0.603
CELL_PARAMETERS angstrom
4.911 -0.004 -1.377
-3.506 8.566 -3.080
0.084 0.161 9.753
! space-group type	Immm, No. 71
! formation energy	-3	kJ/mol of atoms

***

[5]
! La2PrAl PBE optimized geometry; values from VASP
&SYSTEM
  ibrav = 0, nat = 8, ntyp = 3
/
ATOMIC_SPECIES
La 138.91 La.upf
Pr 140.91 Pr.upf
Al 26.98 Al.upf
ATOMIC_POSITIONS crystal
La 0.000 0.500 0.500
La 0.500 0.000 0.000
La 0.000 0.000 0.500
La 0.500 0.000 0.500
Pr 0.000 0.500 0.000
Pr 0.500 0.500 0.000
Al 0.000 0.000 0.000
Al 0.500 0.500 0.500
CELL_PARAMETERS angstrom
6.112 0.000 3.507
2.064 5.722 3.483
0.040 -0.032 7.009
! space-group type	Imma, No. 74
! ΔE to the lowest computed polymorph	12	meV/atom
! formation energy	-17	kJ/mol of atoms

***

[6]
! LaPr14Al PBE optimized geometry; values from VASP
&SYSTEM
  ibrav = 0, nat = 16, ntyp = 3
/
ATOMIC_SPECIES
La 138.91 La.upf
Pr 140.91 Pr.upf
Al 26.98 Al.upf
ATOMIC_POSITIONS crystal
La 0.375 0.625 0.000
Pr 0.375 0.625 0.500
Pr 0.875 0.125 0.500
Pr 0.874 0.624 0.000
Pr 0.876 0.626 0.500
Pr 0.376 0.126 0.000
Pr 0.374 0.124 0.500
Pr 0.634 0.883 0.759
Pr 0.634 0.883 0.241
Pr 0.117 0.366 0.759
Pr 0.117 0.366 0.241
Pr 0.117 0.883 0.760
Pr 0.117 0.883 0.240
Pr 0.634 0.366 0.759
Pr 0.634 0.366 0.241
Al 0.875 0.125 0.000
CELL_PARAMETERS angstrom
7.278 0.976 0.000
-0.977 7.278 0.000
0.000 0.000 10.257
! space-group type	Amm2, No. 38
! formation energy	-1	kJ/mol of atoms

***

[7]
! La2PrAl PBE optimized geometry; values from VASP
&SYSTEM
  ibrav = 0, nat = 4, ntyp = 3
/
ATOMIC_SPECIES
Pr 140.91 Pr.upf
Al 26.98 Al.upf
La 138.91 La.upf
ATOMIC_POSITIONS crystal
Pr 0.500 0.500 0.500
Al 0.500 0.000 0.000
La 0.000 0.000 0.500
La 0.000 0.500 0.000
CELL_PARAMETERS angstrom
5.011 0.000 0.000
0.000 4.928 0.000
0.000 0.000 4.928
! space-group type	P4/mmm, No. 123
! ΔE to the lowest computed polymorph	13	meV/atom
! formation energy	-17	kJ/mol of atoms

***

[8]
! LaPr4Al PBE optimized geometry; values from VASP
&SYSTEM
  ibrav = 0, nat = 12, ntyp = 3
/
ATOMIC_SPECIES
La 138.91 La.upf
Pr 140.91 Pr.upf
Al 26.98 Al.upf
ATOMIC_POSITIONS crystal
La 0.345 0.595 0.189
La 0.655 0.405 0.811
Pr 0.040 0.168 0.782
Pr 0.769 0.718 0.637
Pr 0.243 0.614 0.782
Pr 0.368 0.919 0.637
Pr 0.632 0.081 0.363
Pr 0.757 0.386 0.218
Pr 0.231 0.282 0.363
Pr 0.960 0.832 0.218
Al 0.250 0.000 0.001
Al 0.750 0.000 0.999
CELL_PARAMETERS angstrom
-2.367 -3.479 4.959
0.245 -4.942 -7.861
7.661 1.996 3.048
! space-group type	C2/c, No. 15
! ΔE to the lowest computed polymorph	49	meV/atom
! formation energy	-4	kJ/mol of atoms

***

[9]
! La4PrAl4 PBE optimized geometry; values from VASP
&SYSTEM
  ibrav = 0, nat = 18, ntyp = 3
/
ATOMIC_SPECIES
La 138.91 La.upf
Pr 140.91 Pr.upf
Al 26.98 Al.upf
ATOMIC_POSITIONS crystal
La 0.384 0.427 0.826
La 0.884 0.674 0.927
La 0.384 0.573 0.174
La 0.116 0.073 0.674
La 0.616 0.826 0.573
La 0.116 0.927 0.326
La 0.884 0.326 0.073
La 0.616 0.174 0.427
Pr 0.000 0.000 0.000
Pr 0.500 0.500 0.500
Al 0.592 0.913 0.186
Al 0.592 0.087 0.814
Al 0.092 0.686 0.587
Al 0.908 0.413 0.686
Al 0.908 0.587 0.314
Al 0.408 0.186 0.087
Al 0.408 0.814 0.913
Al 0.092 0.314 0.413
CELL_PARAMETERS angstrom
6.181 0.000 0.000
0.000 9.056 0.000
0.000 0.000 9.056
! space-group type	P4_2/n, No. 86
! formation energy	-16	kJ/mol of atoms

***

[10]
! LaPr6Al2 PBE optimized geometry; values from VASP
&SYSTEM
  ibrav = 0, nat = 9, ntyp = 3
/
ATOMIC_SPECIES
La 138.91 La.upf
Pr 140.91 Pr.upf
Al 26.98 Al.upf
ATOMIC_POSITIONS crystal
La 0.000 0.000 0.000
Pr 0.689 0.497 0.125
Pr 0.311 0.503 0.875
Pr 0.313 0.787 0.587
Pr 0.977 0.721 0.325
Pr 0.023 0.279 0.675
Pr 0.687 0.213 0.413
Al 0.347 0.098 0.208
Al 0.653 0.902 0.792
CELL_PARAMETERS angstrom
3.833 0.000 0.609
1.693 6.353 1.709
0.064 -0.149 11.971
! space-group type	C2/m, No. 12
! formation energy	-13	kJ/mol of atoms

***

[11]
! LaPrAlSi PBE optimized geometry; values from VASP
&SYSTEM
  ibrav = 0, nat = 4, ntyp = 4
/
ATOMIC_SPECIES
La 138.91 La.upf
Pr 140.91 Pr.upf
Al 26.98 Al.upf
Si 28.09 Si.upf
ATOMIC_POSITIONS crystal
La 0.855 0.500 0.709
Pr 0.141 0.000 0.281
Al 0.436 0.000 0.871
Si 0.569 0.500 0.138
CELL_PARAMETERS angstrom
4.533 0.000 0.000
0.000 4.116 0.000
-2.266 0.000 5.760
! formation energy from raw total energies	-0.5907	eV/atom
! space-group type	Amm2, No. 38

***

[12]
! LaPr2AlSi2 PBE optimized geometry; values from VASP
&SYSTEM
  ibrav = 0, nat = 6, ntyp = 4
/
ATOMIC_SPECIES
La 138.91 La.upf
Pr 140.91 Pr.upf
Al 26.98 Al.upf
Si 28.09 Si.upf
ATOMIC_POSITIONS crystal
La 0.500 0.500 0.000
Pr 0.250 0.750 0.500
Pr 0.750 0.250 0.500
Al 0.000 0.000 0.000
Si 0.859 0.859 0.718
Si 0.141 0.141 0.282
CELL_PARAMETERS angstrom
4.799 0.000 0.000
0.000 4.799 0.000
-2.400 -2.400 8.135
! formation energy from raw total energies	0.0129	eV/atom
! space-group type	I4/mmm, No. 139

***

[13]
! La2Pr3Sm6Al PBE optimized geometry; values from VASP
&SYSTEM
  ibrav = 0, nat = 12, ntyp = 4
/
ATOMIC_SPECIES
La 138.91 La.upf
Pr 140.91 Pr.upf
Sm 150.36 Sm.upf
Al 26.98 Al.upf
ATOMIC_POSITIONS crystal
La 0.334 0.666 0.000
La 0.666 0.334 0.000
Pr 0.169 0.831 0.500
Pr 0.831 0.169 0.500
Pr 0.500 0.500 0.500
Sm 0.920 0.598 0.756
Sm 0.759 0.759 0.245
Sm 0.080 0.402 0.244
Sm 0.598 0.920 0.756
Sm 0.241 0.241 0.755
Sm 0.402 0.080 0.244
Al 0.000 0.000 0.000
CELL_PARAMETERS angstrom
-1.632 4.035 4.462
-3.696 -0.847 -4.947
-3.863 -9.675 5.868
! space-group type	C2/m, No. 12
! formation energy	-2	kJ/mol of atoms

***

[14]
! LaPrSmAl PBE optimized geometry; values from VASP
&SYSTEM
  ibrav = 0, nat = 4, ntyp = 4
/
ATOMIC_SPECIES
La 138.91 La.upf
Pr 140.91 Pr.upf
Sm 150.36 Sm.upf
Al 26.98 Al.upf
ATOMIC_POSITIONS crystal
La 0.861 0.723 0.500
Pr 0.131 0.261 0.500
Sm 0.873 0.745 0.000
Al 0.148 0.296 0.000
CELL_PARAMETERS angstrom
-1.859 1.492 -2.503
-3.704 -4.072 2.711
-1.919 4.467 4.088
! space-group type	Amm2, No. 38
! ΔE to the lowest computed polymorph	397	meV/atom
! formation energy	34	kJ/mol of atoms

***

[15]
! LaPrSmAl PBE optimized geometry; values from VASP
&SYSTEM
  ibrav = 0, nat = 4, ntyp = 4
/
ATOMIC_SPECIES
Pr 140.91 Pr.upf
Al 26.98 Al.upf
Sm 150.36 Sm.upf
La 138.91 La.upf
ATOMIC_POSITIONS crystal
Pr 0.500 0.500 0.500
Al 0.250 0.250 0.250
Sm 0.750 0.750 0.750
La 0.000 0.000 0.000
CELL_PARAMETERS angstrom
-1.383 -4.049 3.532
3.529 -1.513 4.004
-1.131 1.205 5.296
! space-group type	F-43m, No. 216
! ΔE to the lowest computed polymorph	0	meV/atom
! formation energy	-4	kJ/mol of atoms

***

[16]
! LaPrAlSn PBE optimized geometry; values from VASP
&SYSTEM
  ibrav = 0, nat = 4, ntyp = 4
/
ATOMIC_SPECIES
La 138.91 La.upf
Pr 140.91 Pr.upf
Al 26.98 Al.upf
Sn 118.71 Sn.upf
ATOMIC_POSITIONS crystal
La 0.140 0.000 0.281
Pr 0.858 0.500 0.717
Al 0.576 0.500 0.152
Sn 0.425 0.000 0.851
CELL_PARAMETERS angstrom
-1.976 -2.229 3.637
3.363 1.118 2.512
-1.817 6.105 -0.284
! space-group type	Amm2, No. 38
! ΔE to the lowest computed polymorph	0	meV/atom
! formation energy	-59	kJ/mol of atoms

***

[17]
! LaPrAlSn PBE optimized geometry; values from VASP
&SYSTEM
  ibrav = 0, nat = 4, ntyp = 4
/
ATOMIC_SPECIES
Pr 140.91 Pr.upf
Al 26.98 Al.upf
Sn 118.71 Sn.upf
La 138.91 La.upf
ATOMIC_POSITIONS crystal
Pr 0.000 0.000 0.000
Al 0.750 0.750 0.750
Sn 0.250 0.250 0.250
La 0.500 0.500 0.500
CELL_PARAMETERS angstrom
-4.442 2.424 2.079
-4.481 0.604 -3.080
-4.477 -2.953 1.076
! space-group type	F-43m, No. 216
! ΔE to the lowest computed polymorph	139	meV/atom
! formation energy	-45	kJ/mol of atoms

***

[18]
! LaPrYAl PBE optimized geometry; values from VASP
&SYSTEM
  ibrav = 0, nat = 4, ntyp = 4
/
ATOMIC_SPECIES
Pr 140.91 Pr.upf
Y 88.91 Y.upf
Al 26.98 Al.upf
La 138.91 La.upf
ATOMIC_POSITIONS crystal
Pr 0.500 0.500 0.500
Y 0.750 0.750 0.750
Al 0.250 0.250 0.250
La 0.000 0.000 0.000
CELL_PARAMETERS angstrom
5.530 0.000 0.000
2.765 4.789 0.000
2.765 1.596 4.515
! space-group type	F-43m, No. 216
! formation energy	-5	kJ/mol of atoms

***

[19]
! La2Pr5AlZn2 PBE optimized geometry; values from VASP
&SYSTEM
  ibrav = 0, nat = 20, ntyp = 4
/
ATOMIC_SPECIES
La 138.91 La.upf
Pr 140.91 Pr.upf
Al 26.98 Al.upf
Zn 65.41 Zn.upf
ATOMIC_POSITIONS crystal
La 0.000 0.682 0.182
La 0.000 0.318 0.818
La 0.000 0.182 0.318
La 0.000 0.818 0.682
Pr 0.500 0.197 0.053
Pr 0.500 0.803 0.947
Pr 0.500 0.053 0.803
Pr 0.500 0.697 0.447
Pr 0.500 0.947 0.197
Pr 0.500 0.303 0.553
Pr 0.500 0.553 0.697
Pr 0.500 0.447 0.303
Pr 0.500 0.500 0.000
Pr 0.500 0.000 0.500
Al 0.000 0.000 0.000
Al 0.000 0.500 0.500
Zn 0.000 0.130 0.630
Zn 0.000 0.870 0.370
Zn 0.000 0.630 0.870
Zn 0.000 0.370 0.130
CELL_PARAMETERS angstrom
3.894 0.000 0.000
0.000 12.685 0.000
0.000 0.000 12.685
! space-group type	P4/mbm, No. 127
! formation energy	-15	kJ/mol of atoms

***

[20]
! La5Pr2AlZn2 PBE optimized geometry; values from VASP
&SYSTEM
  ibrav = 0, nat = 20, ntyp = 4
/
ATOMIC_SPECIES
La 138.91 La.upf
Pr 140.91 Pr.upf
Al 26.98 Al.upf
Zn 65.41 Zn.upf
ATOMIC_POSITIONS crystal
La 0.500 0.197 0.054
La 0.500 0.803 0.946
La 0.500 0.054 0.803
La 0.500 0.697 0.446
La 0.500 0.946 0.197
La 0.500 0.303 0.554
La 0.500 0.554 0.697
La 0.500 0.446 0.303
La 0.500 0.500 0.000
La 0.500 0.000 0.500
Pr 0.000 0.681 0.181
Pr 0.000 0.319 0.819
Pr 0.000 0.181 0.319
Pr 0.000 0.819 0.681
Al 0.000 0.000 0.000
Al 0.000 0.500 0.500
Zn 0.000 0.131 0.631
Zn 0.000 0.869 0.369
Zn 0.000 0.631 0.869
Zn 0.000 0.369 0.131
CELL_PARAMETERS angstrom
-0.914 2.351 3.058
-7.692 -8.998 4.621
9.682 -4.868 6.637
! space-group type	P4/mbm, No. 127
! formation energy	-16	kJ/mol of atoms

***

[21]
! LaPrAlZn PBE optimized geometry; values from VASP
&SYSTEM
  ibrav = 0, nat = 4, ntyp = 4
/
ATOMIC_SPECIES
Pr 140.91 Pr.upf
Zn 65.41 Zn.upf
Al 26.98 Al.upf
La 138.91 La.upf
ATOMIC_POSITIONS crystal
Pr 0.750 0.750 0.750
Zn 0.500 0.500 0.500
Al 0.000 0.000 0.000
La 0.250 0.250 0.250
CELL_PARAMETERS angstrom
5.330 0.000 0.000
2.665 4.616 0.000
2.665 1.539 4.352
! space-group type	F-43m, No. 216
! formation energy	-31	kJ/mol of atoms

***

[22]
! LaPr2Al2Zn2 PBE optimized geometry; values from VASP
&SYSTEM
  ibrav = 0, nat = 7, ntyp = 4
/
ATOMIC_SPECIES
La 138.91 La.upf
Pr 140.91 Pr.upf
Al 26.98 Al.upf
Zn 65.41 Zn.upf
ATOMIC_POSITIONS crystal
La 0.000 0.000 0.000
Pr 0.130 0.130 0.611
Pr 0.870 0.870 0.389
Al 0.737 0.737 0.788
Al 0.263 0.263 0.212
Zn 0.597 0.597 0.210
Zn 0.403 0.403 0.790
CELL_PARAMETERS angstrom
4.620 0.000 0.000
2.310 4.001 0.000
2.310 1.334 9.584
! space-group type	R-3m, No. 166
! formation energy	-29	kJ/mol of atoms

***

[23]
! LaPrAlZn PBE optimized geometry; values from VASP
&SYSTEM
  ibrav = 0, nat = 4, ntyp = 4
/
ATOMIC_SPECIES
La 138.91 La.upf
Pr 140.91 Pr.upf
Al 26.98 Al.upf
Zn 65.41 Zn.upf
ATOMIC_POSITIONS crystal
La 0.000 0.000 0.856
Pr 0.000 0.000 0.361
Al 0.500 0.500 0.112
Zn 0.500 0.500 0.599
CELL_PARAMETERS angstrom
-1.361 1.555 3.092
1.606 -2.660 2.044
6.319 4.294 0.623
! space-group type	P4mm, No. 99
! formation energy	-31	kJ/mol of atoms